No. 1
Dy2ZnP | GGA-PBE | relaxed

Cell: 9.555 9.555 9.555 Å, 23.03 23.03 23.03°
Positions (direct):
Dy: 0.110 0.110 0.110
Dy: 0.890 0.890 0.890
Zn: 0.000 0.000 0.000
P: 0.500 0.500 0.500

Calculated values
distance to the lowest polymorph of the same formula = 33.59 kJ per mole of atoms

No. 2
Dy2ZnP | GGA-PBE | relaxed

Cell: 7.584 7.584 7.584 Å, 30.18 30.18 30.18°
Positions (direct):
Dy: 0.000 0.000 0.000
Dy: 0.190 0.190 0.190
Zn: 0.763 0.763 0.763
P: 0.595 0.595 0.595

Calculated values
distance to the lowest polymorph of the same formula = 0.00 kJ per mole of atoms

No. 3
DyZr5P6 | GGA-PBE | relaxed

Cell: 6.544 6.544 6.565 Å, 99.60 99.60 119.91°
Positions (direct):
Dy: 0.000 0.000 0.000
Zr: 0.163 0.837 0.500
Zr: 0.333 0.667 0.000
Zr: 0.500 0.500 0.500
Zr: 0.667 0.333 0.000
Zr: 0.837 0.163 0.500
P: 0.085 0.426 0.256
P: 0.257 0.257 0.749
P: 0.426 0.085 0.256
P: 0.574 0.915 0.744
P: 0.743 0.743 0.251
P: 0.915 0.574 0.744

No. 4
DyZrP2 | GGA-PBE | relaxed

Cell: 7.009 7.009 7.009 Å, 31.41 31.41 31.41°
Positions (direct):
Dy: 0.000 0.000 0.000
Zr: 0.175 0.175 0.175
P: 0.582 0.582 0.582
P: 0.761 0.761 0.761

Calculated values
distance to the lowest polymorph of the same formula = 12.01 kJ per mole of atoms

No. 5
Dy3ZrP4 | GGA-PBE | relaxed

Cell: 6.807 6.807 3.926 Å, 90.00 90.00 109.28°
Positions (direct):
Dy: 0.000 0.000 0.000
Dy: 0.000 0.500 0.500
Dy: 0.500 0.000 0.500
Zr: 0.500 0.500 0.000
P: 0.256 0.744 0.000
P: 0.260 0.260 0.500
P: 0.740 0.740 0.500
P: 0.744 0.256 0.000

No. 6
DyZrP2 | GGA-PBE | relaxed

Cell: 3.845 3.845 6.746 Å, 106.49 106.49 59.94°
Positions (direct):
Dy: 0.000 0.000 0.000
Zr: 0.500 0.500 0.500
P: 0.245 0.245 0.736
P: 0.755 0.755 0.264

Calculated values
distance to the lowest polymorph of the same formula = 0.00 kJ per mole of atoms

No. 7
DyPa3 | GGA-PBE | relaxed

Cell: 5.769 5.769 5.769 Å, 132.09 132.09 70.08°
Positions (direct):
Dy: 0.000 0.000 0.000
Pa: 0.250 0.750 0.500
Pa: 0.500 0.500 0.000
Pa: 0.750 0.250 0.500

Calculated values
distance to the lowest polymorph of the same formula = 0.00 kJ per mole of atoms

No. 8
DyPa6 | GGA-PBE | relaxed

Cell: 6.621 6.621 6.621 Å, 109.47 109.47 109.47°
Positions (direct):
Dy: 0.000 0.000 0.000
Pa: 0.250 0.500 0.750
Pa: 0.250 0.750 0.500
Pa: 0.500 0.250 0.750
Pa: 0.500 0.750 0.250
Pa: 0.750 0.250 0.500
Pa: 0.750 0.500 0.250

No. 9
Dy4Pa | GGA-PBE | relaxed

Cell: 5.618 5.618 5.618 Å, 90.00 90.00 90.00°
Positions (direct):
Dy: 0.000 0.000 0.000
Dy: 0.000 0.500 0.500
Dy: 0.500 0.000 0.500
Dy: 0.500 0.500 0.000
Pa: 0.500 0.500 0.500

No. 10
DyPa | GGA-PBE | relaxed

Cell: 3.351 4.716 7.012 Å, 90.00 90.00 90.00°
Positions (direct):
Dy: 0.250 0.250 0.130
Dy: 0.750 0.750 0.870
Pa: 0.250 0.250 0.611
Pa: 0.750 0.750 0.389

Calculated values
distance to the lowest polymorph of the same formula = 0.00 kJ per mole of atoms

No. 11
DyPa3 | GGA-PBE | relaxed

Cell: 5.278 5.278 5.278 Å, 60.00 60.00 60.00°
Positions (direct):
Dy: 0.000 0.000 0.000
Pa: 0.250 0.250 0.250
Pa: 0.500 0.500 0.500
Pa: 0.750 0.750 0.750

Calculated values
distance to the lowest polymorph of the same formula = 21.12 kJ per mole of atoms

No. 12
DyPa | GGA-PBE | relaxed

Cell: 3.306 3.306 5.782 Å, 90.00 90.00 120.00°
Positions (direct):
Dy: 0.000 0.000 0.000
Pa: 0.667 0.333 0.500

Calculated values
distance to the lowest polymorph of the same formula = 0.81 kJ per mole of atoms

No. 13
DyPa4 | GGA-PBE | relaxed

Cell: 5.357 5.357 5.357 Å, 90.00 90.00 90.00°
Positions (direct):
Dy: 0.000 0.000 0.000
Pa: 0.000 0.000 0.500
Pa: 0.000 0.500 0.000
Pa: 0.500 0.000 0.000
Pa: 0.500 0.500 0.500

No. 14
DyPa3 | GGA-PBE | relaxed

Cell: 3.192 5.580 5.795 Å, 90.00 90.00 90.00°
Positions (direct):
Dy: 0.000 0.000 0.000
Pa: 0.000 0.500 0.720
Pa: 0.500 0.000 0.503
Pa: 0.500 0.500 0.231

Calculated values
distance to the lowest polymorph of the same formula = 2.17 kJ per mole of atoms

No. 15
DyPa3 | GGA-PBE | relaxed

Cell: 4.707 4.707 4.707 Å, 90.00 90.00 90.00°
Positions (direct):
Dy: 0.000 0.000 0.000
Pa: 0.000 0.500 0.500
Pa: 0.500 0.000 0.500
Pa: 0.500 0.500 0.000

Calculated values
distance to the lowest polymorph of the same formula = 2.28 kJ per mole of atoms

No. 16
DyPa5 | GGA-PBE | relaxed

Cell: 8.897 8.897 3.236 Å, 90.00 90.00 143.32°
Positions (direct):
Dy: 0.000 0.000 0.000
Pa: 0.178 0.822 0.500
Pa: 0.340 0.660 0.000
Pa: 0.500 0.500 0.500
Pa: 0.660 0.340 0.000
Pa: 0.822 0.178 0.500

No. 17
DyPaPb | GGA-PBE | relaxed

Cell: 14.786 14.786 14.786 Å, 166.62 166.62 18.96°
Positions (direct):
Dy: 0.135 0.135 0.000
Dy: 0.865 0.865 0.000
Pa: 0.284 0.284 0.000
Pa: 0.716 0.716 0.000
Pb: 0.447 0.447 0.000
Pb: 0.553 0.553 0.000

Calculated values
distance to the lowest polymorph of the same formula = 0.00 kJ per mole of atoms

No. 18
DyPaPb | GGA-PBE | relaxed

Cell: 5.433 5.433 3.198 Å, 90.00 90.00 120.00°
Positions (direct):
Dy: 0.000 0.000 0.000
Pa: 0.333 0.667 0.997
Pb: 0.667 0.333 0.497

Calculated values
distance to the lowest polymorph of the same formula = 33.14 kJ per mole of atoms

No. 19
DyPa2Pb | GGA-PBE | relaxed

Cell: 5.377 5.377 5.377 Å, 60.00 60.00 60.00°
Positions (direct):
Dy: 0.000 0.000 0.000
Pa: 0.250 0.250 0.250
Pa: 0.750 0.750 0.750
Pb: 0.500 0.500 0.500

No. 20
DyPaPb6 | GGA-PBE | relaxed

Cell: 4.834 4.834 9.734 Å, 90.00 90.00 90.00°
Positions (direct):
Dy: 0.000 0.000 0.000
Pa: 0.000 0.000 0.500
Pb: 0.000 0.500 0.251
Pb: 0.000 0.500 0.749
Pb: 0.500 0.000 0.251
Pb: 0.500 0.000 0.749
Pb: 0.500 0.500 0.000
Pb: 0.500 0.500 0.500

no.,mass density (g/cm3),E (eV/cell)
1,5.97,-17.73
2,7.16,-19.12
3,5.81,-96.32
4,6.31,-29.42
5,6.79,-56.41
6,6.43,-29.92
7,13.71,-32.46
8,11.51,-51.83
9,8.25,-23.73
10,11.79,-27.52
11,13.66,-31.59
12,11.94,-13.74
13,11.74,-34.89
14,13.76,-32.37
15,13.62,-32.37
16,14.30,-51.33
17,11.53,-35.73
18,12.20,-16.84
19,12.57,-25.70
20,11.95,-37.37